[1]
# Ac2ZnGa4Ni3 (GGA-PBE, relaxed)
# Energy of formation from the pure elements   -0.48 eV/atom
data_Ac2ZnGa4Ni3
_cell_length_a 4.319
_cell_length_b 4.319
_cell_length_c 10.329
_cell_angle_alpha 90.00
_cell_angle_beta 90.00
_cell_angle_gamma 90.00
_symmetry_space_group_name_H-M 'P 1'
_symmetry_Int_Tables_number 1
loop_
_symmetry_equiv_pos_as_xyz
'x,y,z'
loop_
_atom_site_label
_atom_site_type_symbol
_atom_site_fract_x
_atom_site_fract_y
_atom_site_fract_z
Ac1 Ac 0.500 0.000 0.247
Ac2 Ac 0.000 0.500 0.753
Zn1 Zn 0.500 0.500 0.500
Ga1 Ga 0.500 0.500 0.000
Ga2 Ga 0.000 0.000 0.000
Ga3 Ga 0.500 0.000 0.631
Ga4 Ga 0.000 0.500 0.369
Ni1 Ni 0.000 0.000 0.500
Ni2 Ni 0.500 0.000 0.875
Ni3 Ni 0.000 0.500 0.125

[2]
# La2H2Rh (GGA-PBE, relaxed)
# Excess energy over the best structure of this formula in the dataset   0 meV per atom
data_La2H2Rh
_cell_length_a 3.667
_cell_length_b 3.667
_cell_length_c 7.166
_cell_angle_alpha 75.17
_cell_angle_beta 75.17
_cell_angle_gamma 90.00
_symmetry_space_group_name_H-M 'P 1'
_symmetry_Int_Tables_number 1
loop_
_symmetry_equiv_pos_as_xyz
'x,y,z'
loop_
_atom_site_label
_atom_site_type_symbol
_atom_site_fract_x
_atom_site_fract_y
_atom_site_fract_z
H1 H 0.750 0.250 0.500
H2 H 0.250 0.750 0.500
Rh1 Rh 0.000 0.000 0.000
La1 La 0.367 0.367 0.265
La2 La 0.633 0.633 0.735

[3]
# TbPmPdPt (GGA-PBE, relaxed)
# Excess energy over the best structure of this formula in the dataset   69 meV per atom
# Energy of formation from the pure elements   -0.98 eV/atom
data_TbPmPdPt
_cell_length_a 5.025
_cell_length_b 5.025
_cell_length_c 5.025
_cell_angle_alpha 60.00
_cell_angle_beta 60.00
_cell_angle_gamma 60.00
_symmetry_space_group_name_H-M 'P 1'
_symmetry_Int_Tables_number 1
loop_
_symmetry_equiv_pos_as_xyz
'x,y,z'
loop_
_atom_site_label
_atom_site_type_symbol
_atom_site_fract_x
_atom_site_fract_y
_atom_site_fract_z
Tb1 Tb 0.000 0.000 0.000
Pd1 Pd 0.250 0.250 0.250
Pt1 Pt 0.750 0.750 0.750
Pm1 Pm 0.500 0.500 0.500

[4]
# NaAg5Se4 (GGA-PBE, relaxed)
# Formation energy (no corrections)   -186.3 meV/atom
data_NaAg5Se4
_cell_length_a 4.161
_cell_length_b 8.603
_cell_length_c 7.731
_cell_angle_alpha 116.70
_cell_angle_beta 90.00
_cell_angle_gamma 103.99
_symmetry_space_group_name_H-M 'P 1'
_symmetry_Int_Tables_number 1
loop_
_symmetry_equiv_pos_as_xyz
'x,y,z'
loop_
_atom_site_label
_atom_site_type_symbol
_atom_site_fract_x
_atom_site_fract_y
_atom_site_fract_z
Na1 Na 0.500 0.000 0.000
Ag1 Ag 0.176 0.351 0.399
Ag2 Ag 0.176 0.351 0.952
Ag3 Ag 0.824 0.649 0.048
Ag4 Ag 0.500 0.000 0.500
Ag5 Ag 0.824 0.649 0.601
Se1 Se 0.714 0.428 0.214
Se2 Se 0.000 0.000 0.288
Se3 Se 0.286 0.572 0.786
Se4 Se 0.000 0.000 0.712

[5]
# HoAg2F6 (GGA-PBE, relaxed)
# Excess energy over the best structure of this formula in the dataset   0 meV per atom
# Formation energy (no corrections)   -2416.4 meV/atom
data_HoAg2F6
_cell_length_a 3.762
_cell_length_b 5.562
_cell_length_c 7.047
_cell_angle_alpha 113.24
_cell_angle_beta 105.48
_cell_angle_gamma 90.00
_symmetry_space_group_name_H-M 'P 1'
_symmetry_Int_Tables_number 1
loop_
_symmetry_equiv_pos_as_xyz
'x,y,z'
loop_
_atom_site_label
_atom_site_type_symbol
_atom_site_fract_x
_atom_site_fract_y
_atom_site_fract_z
Ho1 Ho 0.000 0.000 0.000
Ag1 Ag 0.332 0.332 0.665
Ag2 Ag 0.668 0.668 0.335
F1 F 0.848 0.095 0.697
F2 F 0.152 0.398 0.303
F3 F 0.152 0.905 0.303
F4 F 0.500 0.224 0.000
F5 F 0.848 0.602 0.697
F6 F 0.500 0.776 0.000

[6]
# BaScN3 (GGA-PBE, relaxed)
# Formation energy (no corrections)   1691.8 meV/atom
data_BaScN3
_cell_length_a 4.396
_cell_length_b 4.396
_cell_length_c 4.396
_cell_angle_alpha 90.00
_cell_angle_beta 90.00
_cell_angle_gamma 90.00
_symmetry_space_group_name_H-M 'P 1'
_symmetry_Int_Tables_number 1
loop_
_symmetry_equiv_pos_as_xyz
'x,y,z'
loop_
_atom_site_label
_atom_site_type_symbol
_atom_site_fract_x
_atom_site_fract_y
_atom_site_fract_z
Sc1 Sc 0.500 0.500 0.500
Ba1 Ba 0.000 0.000 0.000
N1 N 0.000 0.500 0.000
N2 N 0.000 0.000 0.500
N3 N 0.500 0.000 0.000

[7]
# Ba2ZrAlRe (GGA-PBE, relaxed)
# Energy of formation from the pure elements   1.96 eV/atom
data_Ba2ZrAlRe
_cell_length_a 5.903
_cell_length_b 5.165
_cell_length_c 5.903
_cell_angle_alpha 90.00
_cell_angle_beta 90.00
_cell_angle_gamma 90.00
_symmetry_space_group_name_H-M 'P 1'
_symmetry_Int_Tables_number 1
loop_
_symmetry_equiv_pos_as_xyz
'x,y,z'
loop_
_atom_site_label
_atom_site_type_symbol
_atom_site_fract_x
_atom_site_fract_y
_atom_site_fract_z
Re1 Re 0.500 0.500 0.500
Ba1 Ba 0.000 0.000 0.500
Ba2 Ba 0.500 0.000 0.000
Zr1 Zr 0.000 0.000 0.000
Al1 Al 0.000 0.500 0.000

[8]
# CeDy4As5 (GGA-PBE, relaxed)
# Energy of formation from the pure elements   -1.52 eV/atom
data_CeDy4As5
_cell_length_a 5.850
_cell_length_b 7.162
_cell_length_c 7.162
_cell_angle_alpha 80.40
_cell_angle_beta 65.89
_cell_angle_gamma 65.89
_symmetry_space_group_name_H-M 'P 1'
_symmetry_Int_Tables_number 1
loop_
_symmetry_equiv_pos_as_xyz
'x,y,z'
loop_
_atom_site_label
_atom_site_type_symbol
_atom_site_fract_x
_atom_site_fract_y
_atom_site_fract_z
Ce1 Ce 0.001 0.000 0.000
Dy1 Dy 0.400 0.402 0.800
Dy2 Dy 0.802 0.800 0.598
Dy3 Dy 0.200 0.200 0.402
Dy4 Dy 0.602 0.598 0.200
As1 As 0.901 0.400 0.799
As2 As 0.302 0.799 0.600
As3 As 0.700 0.201 0.400
As4 As 0.101 0.600 0.201
As5 As 0.501 0.000 0.000

Which formula does entry 5 have? HoAg2F6